1.
A relaxed CePuIn6 crystal, computed with PBE.

Computed properties:
The energy above the most stable polymorph in this dataset is 0 meV per atom. The symmetry is P4/mmm, No. 123. Its formation energy is -0.316 eV/atom.

Cell: 4.6924 4.6924 9.3680 Å, 90.00 90.00 90.00°
With the nearest neighbours (Å) after each atom.
Atoms (fractional coordinates):
1 In 0.0000 0.5000 0.2527  2 Pu 3.30, 8 In 3.30-3.33, 2 Ce 3.33
2 In 0.5000 0.0000 0.7473  8 In 3.30-3.33, 2 Pu 3.30, 2 Ce 3.33
3 In 0.0000 0.5000 0.7473  8 In 3.30-3.33, 2 Pu 3.30, 2 Ce 3.33
4 In 0.5000 0.0000 0.2527  2 Pu 3.30, 8 In 3.30-3.33, 2 Ce 3.33
5 In 0.5000 0.5000 0.0000  4 Ce 3.32, 8 In 3.33
6 In 0.5000 0.5000 0.5000  8 In 3.30, 4 Pu 3.32
7 Ce 0.0000 0.0000 0.0000  12 In 3.32-3.33
8 Pu 0.0000 0.0000 0.5000  12 In 3.30-3.32

---

2.
A relaxed Ce2PuIn9 crystal, computed with PBE.

Computed properties:
The symmetry is P4/mmm, No. 123. Its formation energy is -0.347 eV/atom.

Cell: 4.6980 4.6980 14.0717 Å, 90.00 90.00 90.00°
With the nearest neighbours (Å) after each atom.
Atoms (fractional coordinates):
1 Pu 0.0000 0.0000 0.0000  12 In 3.29-3.32
2 In 0.5000 0.0000 0.1638  8 In 3.29-3.34, 2 Pu 3.29, 2 Ce 3.34
3 In 0.0000 0.5000 0.5000  8 In 3.32-3.33, 4 Ce 3.33
4 In 0.5000 0.0000 0.8362  8 In 3.29-3.34, 2 Pu 3.29, 2 Ce 3.34
5 In 0.5000 0.5000 0.6678  4 Ce 3.32, 8 In 3.33-3.34
6 In 0.5000 0.5000 0.0000  8 In 3.29, 4 Pu 3.32
7 In 0.5000 0.5000 0.3322  4 Ce 3.32, 8 In 3.33-3.34
8 In 0.0000 0.5000 0.8362  2 Pu 3.29, 8 In 3.29-3.34, 2 Ce 3.34
9 In 0.5000 0.0000 0.5000  8 In 3.32-3.33, 4 Ce 3.33
10 In 0.0000 0.5000 0.1638  8 In 3.29-3.34, 2 Pu 3.29, 2 Ce 3.34
11 Ce 0.0000 0.0000 0.3324  12 In 3.32-3.34
12 Ce 0.0000 0.0000 0.6676  12 In 3.32-3.34

---

3.
A relaxed CePu3In4 crystal, computed with PBE.

Computed properties:
The symmetry is Pmmm, No. 47. Its formation energy is -0.238 eV/atom.

Cell: 4.8621 4.6203 9.2310 Å, 90.00 90.00 90.00°
With the nearest neighbours (Å) after each atom.
Atoms (fractional coordinates):
1 In 0.0000 0.0000 0.0000  4 In 3.28, 4 Ce 3.35, 4 Pu 3.36
2 In 0.0000 0.5000 0.2517  4 In 3.25-3.28, 6 Pu 3.34-3.35, 2 Ce 3.36
3 In 0.0000 0.5000 0.7483  4 In 3.25-3.28, 6 Pu 3.34-3.35, 2 Ce 3.36
4 In 0.0000 0.0000 0.5000  4 In 3.25, 8 Pu 3.34-3.35
5 Pu 0.5000 0.5000 0.5000  4 Pu 3.25, 8 In 3.34-3.35
6 Pu 0.5000 0.0000 0.7483  2 Pu 3.25, 2 Ce 3.28, 8 In 3.34-3.36
7 Pu 0.5000 0.0000 0.2517  2 Pu 3.25, 2 Ce 3.28, 8 In 3.34-3.36
8 Ce 0.5000 0.5000 0.0000  4 Pu 3.28, 8 In 3.35-3.36

---

4.
A relaxed Ce6PuIn5 crystal, computed with PBE.

Computed properties:
The symmetry is C2/m, No. 12. Its formation energy is -0.292 eV/atom.

Cell: 5.7375 6.9176 8.9353 Å, 67.22 87.42 89.99°
With the nearest neighbours (Å) after each atom.
Atoms (fractional coordinates):
1 In 0.6424 0.1680 0.6640  3 In 3.15-3.46, 8 Ce 3.31-3.40, 1 Pu 3.52
2 In 0.6365 0.6717 0.6566  3 In 3.15-3.46, 8 Ce 3.33-3.37
3 In 0.0000 0.5000 0.0000  8 Ce 3.33-3.34, 2 Pu 3.46, 2 In 3.60
4 In 0.3635 0.3283 0.3434  3 In 3.15-3.46, 8 Ce 3.33-3.37
5 In 0.3576 0.8320 0.3360  3 In 3.15-3.46, 8 Ce 3.31-3.40, 1 Pu 3.52
6 Ce 0.5001 0.2525 0.0000  6 In 3.34-3.37, 2 Pu 3.36, 4 Ce 3.43-3.57
7 Ce 0.8665 0.5803 0.3382  3 Ce 3.14-3.47, 7 In 3.31-3.40, 1 Pu 3.34
8 Ce 0.1335 0.4197 0.6618  3 Ce 3.14-3.47, 7 In 3.31-3.40, 1 Pu 3.34
9 Ce 0.4999 0.7475 0.0000  6 In 3.34-3.37, 2 Pu 3.36, 4 Ce 3.43-3.57
10 Ce 0.8665 0.0815 0.3383  3 Ce 3.14-3.47, 7 In 3.31-3.40, 1 Pu 3.34
11 Ce 0.1335 0.9185 0.6617  3 Ce 3.14-3.47, 7 In 3.31-3.40, 1 Pu 3.34
12 Pu 0.0000 0.0000 0.0000  8 Ce 3.34-3.36, 4 In 3.46-3.52

---

5.
A relaxed Ce12PuIn3 crystal, computed with PBE.

Computed properties:
The symmetry is P4/mmm, No. 123. Its formation energy is -0.014 eV/atom.

Cell: 4.7255 4.7255 19.2084 Å, 90.00 90.00 90.00°
With the nearest neighbours (Å) after each atom.
Atoms (fractional coordinates):
1 In 0.0000 0.0000 0.7541  12 Ce 3.34-3.43
2 In 0.0000 0.0000 0.5000  12 Ce 3.34-3.40
3 In 0.0000 0.0000 0.2459  12 Ce 3.34-3.43
4 Ce 0.0000 0.5000 0.1167  8 Ce 3.26-3.34, 2 Pu 3.26, 2 In 3.43
5 Ce 0.5000 0.5000 0.7605  8 Ce 3.34-3.49, 4 In 3.34
6 Ce 0.5000 0.0000 0.3730  8 Ce 3.34-3.49, 4 In 3.40
7 Ce 0.5000 0.5000 0.5000  4 In 3.34, 8 Ce 3.40
8 Ce 0.0000 0.5000 0.8833  2 Pu 3.26, 8 Ce 3.26-3.34, 2 In 3.43
9 Ce 0.5000 0.5000 0.2395  8 Ce 3.34-3.49, 4 In 3.34
10 Ce 0.5000 0.0000 0.6270  8 Ce 3.34-3.49, 4 In 3.40
11 Ce 0.5000 0.0000 0.8833  8 Ce 3.26-3.34, 2 Pu 3.26, 2 In 3.43
12 Ce 0.0000 0.5000 0.3730  8 Ce 3.34-3.49, 4 In 3.40
13 Ce 0.5000 0.0000 0.1167  8 Ce 3.26-3.34, 2 Pu 3.26, 2 In 3.43
14 Ce 0.5000 0.5000 0.0000  8 Ce 3.26, 4 Pu 3.34
15 Ce 0.0000 0.5000 0.6270  8 Ce 3.34-3.49, 4 In 3.40
16 Pu 0.0000 0.0000 0.0000  12 Ce 3.26-3.34

---

6.
A relaxed Ce5PuIn5 crystal, computed with PBE.

Computed properties:
The symmetry is C2/m, No. 12. Its formation energy is -0.255 eV/atom.

Cell: 5.1366 8.0320 8.5560 Å, 70.99 72.53 71.35°
With the nearest neighbours (Å) after each atom.
Atoms (fractional coordinates):
1 In 0.2420 0.2469 0.2691  1 In 3.02, 2 Ce 3.23-3.31
2 In 0.4203 0.4511 0.7083  3 In 3.05-3.29, 2 Ce 3.31
3 In 0.7580 0.7531 0.7309  1 In 3.02, 2 Ce 3.23-3.31
4 In 0.0000 0.5000 0.5000  6 In 3.02-3.05, 2 Ce 3.37
5 In 0.5797 0.5489 0.2917  3 In 3.05-3.29, 2 Ce 3.31
6 Ce 0.8712 0.9483 0.3094  1 Pu 2.45
7 Ce 0.1288 0.0517 0.6906  1 Pu 2.45
8 Ce 0.1490 0.6700 0.0321  1 Pu 2.46
9 Ce 0.8510 0.3300 0.9679  1 Pu 2.46
10 Ce 0.5000 0.0000 0.0000  2 Pu 2.57
11 Pu 0.0000 0.0000 0.0000  6 Ce 2.45-2.57

---

7.
A relaxed CePu4In15 crystal, computed with PBE.

Computed properties:
The symmetry is P4/mmm, No. 123. Its formation energy is 0.211 eV/atom.

Cell: 4.6277 4.6277 23.2770 Å, 90.00 90.00 90.00°
With the nearest neighbours (Å) after each atom.
Atoms (fractional coordinates):
1 In 0.5000 0.0000 0.3012  4 Pu 3.27, 8 In 3.27
2 In 0.0000 0.5000 0.3012  4 Pu 3.27, 8 In 3.27
3 In 0.5000 0.5000 0.4006  8 In 3.27, 4 Pu 3.27
4 In 0.0000 0.5000 0.5000  8 In 3.27, 4 Pu 3.27
5 In 0.5000 0.5000 0.0000  4 Ce 3.27, 8 In 3.33
6 In 0.0000 0.5000 0.1029  2 Pu 3.26, 8 In 3.26-3.33, 2 Ce 3.33
7 In 0.5000 0.0000 0.6988  4 Pu 3.27, 8 In 3.27
8 In 0.0000 0.5000 0.8971  2 Pu 3.26, 8 In 3.26-3.33, 2 Ce 3.33
9 In 0.5000 0.0000 0.8971  2 Pu 3.26, 8 In 3.26-3.33, 2 Ce 3.33
10 In 0.5000 0.0000 0.5000  8 In 3.27, 4 Pu 3.27
11 In 0.5000 0.5000 0.2018  8 In 3.26-3.27, 4 Pu 3.27
12 In 0.5000 0.5000 0.5994  8 In 3.27, 4 Pu 3.27
13 In 0.0000 0.5000 0.6988  4 Pu 3.27, 8 In 3.27
14 In 0.5000 0.5000 0.7982  8 In 3.26-3.27, 4 Pu 3.27
15 In 0.5000 0.0000 0.1029  2 Pu 3.26, 8 In 3.26-3.33, 2 Ce 3.33
16 Pu 0.0000 0.0000 0.2017  12 In 3.26-3.27
17 Pu 0.0000 0.0000 0.7983  12 In 3.26-3.27
18 Pu 0.0000 0.0000 0.4006  12 In 3.27
19 Pu 0.0000 0.0000 0.5994  12 In 3.27
20 Ce 0.0000 0.0000 0.0000  12 In 3.27-3.33

---

8.
A relaxed CePu2In9 crystal, computed with PBE.

Computed properties:
The symmetry is P4/mmm, No. 123. Its formation energy is -0.286 eV/atom.

Cell: 4.6857 4.6857 14.0440 Å, 90.00 90.00 90.00°
With the nearest neighbours (Å) after each atom.
Atoms (fractional coordinates):
1 In 0.5000 0.0000 0.1691  8 In 3.29-3.34, 2 Pu 3.30, 2 Ce 3.34
2 In 0.5000 0.0000 0.8309  8 In 3.29-3.34, 2 Pu 3.30, 2 Ce 3.34
3 In 0.5000 0.5000 0.0000  4 Ce 3.31, 8 In 3.34
4 In 0.0000 0.5000 0.8309  8 In 3.29-3.34, 2 Pu 3.30, 2 Ce 3.34
5 In 0.5000 0.5000 0.3338  8 In 3.29-3.31, 4 Pu 3.31
6 In 0.0000 0.5000 0.1691  8 In 3.29-3.34, 2 Pu 3.30, 2 Ce 3.34
7 In 0.5000 0.5000 0.6662  8 In 3.29-3.31, 4 Pu 3.31
8 In 0.5000 0.0000 0.5000  4 Pu 3.30, 8 In 3.31
9 In 0.0000 0.5000 0.5000  4 Pu 3.30, 8 In 3.31
10 Pu 0.0000 0.0000 0.3345  12 In 3.30-3.31
11 Pu 0.0000 0.0000 0.6655  12 In 3.30-3.31
12 Ce 0.0000 0.0000 0.0000  12 In 3.31-3.34

---

9.
A relaxed CePuInRh crystal, computed with PBE.

Computed properties:
The symmetry is F-43m, No. 216. Its formation energy is -0.400 eV/atom.

Cell: 4.9535 4.9535 4.9535 Å, 60.00 60.00 60.00°
With the nearest neighbours (Å) after each atom.
Atoms (fractional coordinates):
1 Pu 0.5000 0.5000 0.5000  4 In 3.03, 4 Ce 3.03
2 Ce 0.2500 0.2500 0.2500  4 Rh 3.03, 4 Pu 3.03
3 In 0.7500 0.7500 0.7500  4 Rh 3.03, 4 Pu 3.03
4 Rh 0.0000 0.0000 0.0000  4 Ce 3.03, 4 In 3.03

---

10.
A relaxed Ce2PuIn2Rh5 crystal, computed with PBE.

Computed properties:
The symmetry is P4/mbm, No. 127. Its formation energy is -0.432 eV/atom.

Cell: 3.5957 10.6560 10.6560 Å, 90.00 90.00 90.00°
With the nearest neighbours (Å) after each atom.
Atoms (fractional coordinates):
1 Rh 0.5000 0.7865 0.9979  2 In 2.80, 2 Ce 2.83, 2 Pu 2.90, 1 Rh 3.05
2 Rh 0.5000 0.9979 0.2135  2 In 2.80, 2 Ce 2.83, 2 Pu 2.90, 1 Rh 3.05
3 Rh 0.5000 0.5000 0.0000  4 In 2.75, 4 Ce 3.01, 4 Rh 3.05
4 Rh 0.5000 0.2865 0.5021  2 In 2.80, 2 Ce 2.83, 2 Pu 2.90, 1 Rh 3.05
5 Rh 0.5000 0.2135 0.0021  2 In 2.80, 2 Ce 2.83, 2 Pu 2.90, 1 Rh 3.05
6 Rh 0.5000 0.7135 0.4979  2 In 2.80, 2 Ce 2.83, 2 Pu 2.90, 1 Rh 3.05
7 Rh 0.5000 0.0021 0.7865  2 In 2.80, 2 Ce 2.83, 2 Pu 2.90, 1 Rh 3.05
8 Rh 0.5000 0.0000 0.5000  4 In 2.75, 4 Ce 3.01, 4 Rh 3.05
9 Rh 0.5000 0.4979 0.2865  2 In 2.80, 2 Ce 2.83, 2 Pu 2.90, 1 Rh 3.05
10 Rh 0.5000 0.5021 0.7135  2 In 2.80, 2 Ce 2.83, 2 Pu 2.90, 1 Rh 3.05
11 Ce 0.0000 0.3396 0.8396  6 Rh 2.83-3.01, 1 In 3.04
12 Ce 0.0000 0.1604 0.3396  6 Rh 2.83-3.01, 1 In 3.04
13 Ce 0.0000 0.8396 0.6604  6 Rh 2.83-3.01, 1 In 3.04
14 Ce 0.0000 0.6604 0.1604  6 Rh 2.83-3.01, 1 In 3.04
15 In 0.0000 0.8619 0.3619  6 Rh 2.75-2.80, 1 Ce 3.04
16 In 0.0000 0.6381 0.8619  6 Rh 2.75-2.80, 1 Ce 3.04
17 In 0.0000 0.1381 0.6381  6 Rh 2.75-2.80, 1 Ce 3.04
18 In 0.0000 0.3619 0.1381  6 Rh 2.75-2.80, 1 Ce 3.04
19 Pu 0.0000 0.5000 0.5000  8 Rh 2.90
20 Pu 0.0000 0.0000 0.0000  8 Rh 2.90

---

11.
A relaxed CePuScIn crystal, computed with PBE.

Computed properties:
The symmetry is F-43m, No. 216. Its formation energy is -0.079 eV/atom.

Cell: 5.2081 5.2081 5.2081 Å, 60.00 60.00 60.00°
With the nearest neighbours (Å) after each atom.
Atoms (fractional coordinates):
1 Sc 0.2500 0.2500 0.2500  4 Ce 3.19, 4 In 3.19
2 In 0.0000 0.0000 0.0000  4 Sc 3.19, 4 Pu 3.19
3 Pu 0.7500 0.7500 0.7500  4 Ce 3.19, 4 In 3.19
4 Ce 0.5000 0.5000 0.5000  4 Pu 3.19, 4 Sc 3.19

---

12.
A relaxed CeSmPuIn crystal, computed with PBE.

Computed properties:
The symmetry is F-43m, No. 216. Its formation energy is -0.046 eV/atom.

Cell: 5.3863 5.3863 5.3863 Å, 60.00 60.00 60.00°
With the nearest neighbours (Å) after each atom.
Atoms (fractional coordinates):
1 Ce 0.7500 0.7500 0.7500  4 Sm 3.30, 4 Pu 3.30
2 In 0.2500 0.2500 0.2500  4 Sm 3.30, 4 Pu 3.30
3 Pu 0.5000 0.5000 0.5000  4 In 3.30, 4 Ce 3.30
4 Sm 0.0000 0.0000 0.0000  4 In 3.30, 4 Ce 3.30